Computed, not measured: a relaxed structure of CaPmHoTm at the GGA-PBE level of DFT.

Geometry as CIF:
```
data_CaPmHoTm
_chemical_formula_sum 'Ca4 Pm4 Ho4 Tm4'
_space_group_name_H-M_alt 'F -4 3 m'
_space_group_IT_number 216
_space_group_name_Hall 'F -4 2 3'
_cell_length_a 8.127
_cell_length_b 8.127
_cell_length_c 8.127
_cell_angle_alpha 90.00
_cell_angle_beta 90.00
_cell_angle_gamma 90.00
loop_
_atom_site_label
_atom_site_fract_x
_atom_site_fract_y
_atom_site_fract_z
Ca1 0.000 0.000 0.000
Pm1 0.250 0.250 0.250
Ho1 0.250 0.250 0.750
Tm1 0.000 0.000 0.500
```

- DOS(E_F): 1.646 states/eV/atom
- V: 536.7 Å³ per cell
- Final energy: -60.88 eV per cell

Computed, not measured: a relaxed structure of CaPm6Y3Ho2 at the GGA-PBE level of DFT.

Geometry as CIF:
```
data_CaPm6Y3Ho2
_chemical_formula_sum 'Ca2 Pm12 Y6 Ho4'
_space_group_name_H-M_alt 'C 1 2/m 1'
_space_group_IT_number 12
_cell_length_a 6.296
_cell_length_b 10.899
_cell_length_c 11.903
_cell_angle_alpha 90.00
_cell_angle_beta 100.09
_cell_angle_gamma 90.00
loop_
_space_group_symop_operation_xyz
'x,y,z'
'-x,-y,-z'
'-x,y,-z'
'x,-y,z'
'x+1/2,y+1/2,z'
'-x+1/2,-y+1/2,-z'
'-x+1/2,y+1/2,-z'
'x+1/2,-y+1/2,z'
loop_
_atom_site_label
_atom_site_fract_x
_atom_site_fract_y
_atom_site_fract_z
Ca1 0.000 0.000 0.000
Pm1 0.244 0.500 0.252
Pm2 0.245 0.330 0.748
Y1 0.000 0.166 0.500
Y2 0.000 0.500 0.500
Ho1 0.000 0.333 0.000
```

- DOS(E_F): 1.160 states/eV/atom
- V: 804.2 Å³ per cell
- Final energy: -117.29 eV per cell